# 1
VASP calculation (PBE-GGA) on an optimized crystal structure of EuYOs4.

```
EuYOs4
1.0
0.000 3.809 3.809
3.809 0.000 3.809
3.809 3.809 0.000
Eu Y Os
1 1 4
direct
0.000 0.000 0.000 Eu
0.750 0.750 0.750 Y
0.375 0.375 0.375 Os
0.375 0.375 0.875 Os
0.375 0.875 0.375 Os
0.875 0.375 0.375 Os
```

Output
Symmetry: F-43m, No. 216
DFT formation energy in eV/f.u.: -0.34

***

# 2
VASP calculation (PBE-GGA) on an optimized crystal structure of CaSi2Rh.

```
CaSi2Rh
1.0
-1.555 2.381 4.692
1.555 -2.381 4.692
1.555 2.381 -4.692
Ca Si Rh
1 2 1
direct
0.000 0.000 0.000 Ca
0.494 0.494 0.000 Si
0.710 0.210 0.500 Si
0.289 0.789 0.500 Rh
```

Output
Symmetry: Imm2, No. 44
Formation energy from raw total energies in meV/atom: -131

***

# 3
VASP calculation (PBE-GGA) on an optimized crystal structure of TaCr2Sb.

```
TaCr2Sb
1.0
1.549 0.894 8.195
-1.549 0.894 8.195
0.000 -1.789 8.195
Ta Cr Sb
1 2 1
direct
0.000 0.000 0.000 Ta
0.254 0.254 0.254 Cr
0.746 0.746 0.746 Cr
0.500 0.500 0.500 Sb
```

Output
Symmetry: R-3m, No. 166
Formation energy from raw total energies in meV/atom: 471
Offset from the most stable computed form in kJ/mol of formula units: 139

***

# 4
VASP calculation (PBE-GGA) on an optimized crystal structure of Al2SiAs.

```
Al2SiAs
1.0
-1.891 1.891 4.809
1.891 -1.891 4.809
1.891 1.891 -4.809
Al Si As
2 1 1
direct
0.000 0.000 0.000 Al
0.750 0.250 0.500 Al
0.500 0.500 0.000 Si
0.250 0.750 0.500 As
```

Output
Symmetry: I-4m2, No. 119
Formation energy from raw total energies in meV/atom: 207
Offset from the most stable computed form in kJ/mol of formula units: 80

***

# 5
VASP calculation (PBE-GGA) on an optimized crystal structure of VInCoIr.

```
VInCoIr
1.0
0.000 3.096 3.096
3.096 0.000 3.096
3.096 3.096 0.000
V In Co Ir
1 1 1 1
direct
0.000 0.000 0.000 V
0.500 0.500 0.500 In
0.250 0.250 0.250 Co
0.750 0.750 0.750 Ir
```

Output
Symmetry: F-43m, No. 216
DFT formation energy in eV/f.u.: -0.34

***

# 6
VASP calculation (PBE-GGA) on an optimized crystal structure of Cs3Na2NpCl9.

```
Cs3Na2NpCl9
1.0
7.794 0.000 0.000
-3.897 6.750 0.000
0.000 0.000 9.713
Cs Na Np Cl
3 2 1 9
direct
0.000 0.000 0.000 Cs
0.333 0.667 0.726 Cs
0.667 0.333 0.274 Cs
0.333 0.667 0.147 Na
0.667 0.333 0.853 Na
0.000 0.000 0.500 Np
0.000 0.500 0.000 Cl
0.158 0.317 0.345 Cl
0.158 0.842 0.345 Cl
0.317 0.158 0.655 Cl
0.500 0.000 0.000 Cl
0.500 0.500 0.000 Cl
0.683 0.842 0.345 Cl
0.842 0.158 0.655 Cl
0.842 0.683 0.655 Cl
```

Output
Symmetry: P-3m1, No. 164
Formation energy from raw total energies in meV/atom: -1855

***

# 7
VASP calculation (PBE-GGA) on an optimized crystal structure of BeTlIr3.

```
BeTlIr3
1.0
4.248 0.000 0.000
0.000 4.248 0.000
0.000 0.000 4.248
Be Tl Ir
1 1 3
direct
0.000 0.000 0.000 Be
0.500 0.500 0.500 Tl
0.000 0.000 0.500 Ir
0.000 0.500 0.000 Ir
0.500 0.000 0.000 Ir
```

Output
Symmetry: Pm-3m, No. 221
DFT formation energy in eV/f.u.: 1.99
Offset from the most stable computed form in kJ/mol of formula units: 0

***

# 8
VASP calculation (PBE-GGA) on an optimized crystal structure of MgAlRe2.

```
MgAlRe2
1.0
-1.583 2.198 4.379
1.583 -2.198 4.379
1.583 2.198 -4.379
Mg Al Re
1 1 2
direct
0.000 0.000 0.000 Mg
0.500 0.500 0.000 Al
0.255 0.755 0.500 Re
0.745 0.245 0.500 Re
```

Output
Symmetry: Immm, No. 71
DFT formation energy in eV/f.u.: 0.49
Offset from the most stable computed form in kJ/mol of formula units: 77

***

Looking at magnetic moment for the records above, in order, we have 5.8 0.0 3.0 0.0 2.0 3.0 0.0 0.0 Bohr magnetons per cell.
Looking at VASP energy for the records above, in order, we have -10.334 -5.181 -8.335 -4.183 -7.040 -4.173 -6.136 -7.436 eV/atom.
Looking at Fermi-level density of states for the records above, in order, we have 9.87 2.14 3.87 1.53 2.06 6.03 2.26 1.88 states/eV per cell.